FeNi7Sb2P2 | PBE | optimized geometry

Structure (extended XYZ):
```
12
Lattice="3.595 -0.003 0.010 0.002 3.595 0.010 1.775 1.773 13.701" Properties=species:S:1:pos:R:3 pbc="T T T"
Ni 3.589 1.788 1.798
Ni 1.783 3.578 11.922
Ni 3.580 1.779 11.922
Ni 1.792 3.587 1.798
Ni 3.583 3.578 8.438
Ni 1.789 1.787 5.282
Ni 1.798 1.796 0.010
P 1.788 1.786 3.095
P 3.584 3.579 10.625
Sb 1.786 1.784 7.936
Sb 3.586 3.582 5.784
Fe 0.000 0.000 0.000
```

Calculated values
**Formation energy without anion corrections**: -0.2150 eV per atom